Computed, not measured: a relaxed Li2SbMo crystal at the PBE-GGA level of DFT.

It has space group I-4m2 (No. 119), with a = 3.984 Å, b = 3.984 Å, c = 8.068 Å, α = 90.00°, β = 90.00° and γ = 90.00°. The asymmetric unit holds Li at (0.000, 0.000, 0.000), Li at (0.000, 0.500, 0.250), Sb at (0.000, 0.500, 0.750) and Mo at (0.000, 0.000, 0.500).

The uncorrected formation energy is 0.059 eV/atom. For the total DFT energy (no corrections), the calculation gives -18.55 eV/f.u. The value obtained for the size of the total moment is 0.64 μB/f.u.